[1]
Material: Sc11Hg9Rh4
Method: DFT, PBE-GGA
State: optimized geometry

Cell lengths 3.369, 12.527, 12.527 Å; angles 112.56, 90.00, 90.00 degrees
Atoms (fractional coordinates):
Sc 0.000 0.582 0.917
Sc 0.000 0.418 0.083
Sc 0.000 0.917 0.582
Sc 0.000 0.083 0.418
Sc 0.000 0.638 0.362
Sc 0.000 0.362 0.638
Sc 0.000 0.837 0.163
Sc 0.000 0.163 0.837
Sc 0.000 0.000 0.000
Sc 0.000 0.706 0.706
Sc 0.000 0.294 0.294
Hg 0.500 0.632 0.145
Hg 0.500 0.368 0.855
Hg 0.500 0.145 0.632
Hg 0.500 0.855 0.368
Hg 0.500 0.787 0.938
Hg 0.500 0.213 0.062
Hg 0.500 0.938 0.787
Hg 0.500 0.062 0.213
Hg 0.500 0.500 0.500
Rh 0.500 0.548 0.743
Rh 0.500 0.452 0.257
Rh 0.500 0.743 0.548
Rh 0.500 0.257 0.452

Computed properties:
Space-group type = Cmmm
ΔH_f (0 K) = -0.592 eV per atom

***

[2]
Material: FeTcP
Method: DFT, PBE-GGA
State: optimized geometry

Cell lengths 3.740, 6.591, 5.759 Å; angles 90.00, 90.00, 90.00 degrees
Atoms (fractional coordinates):
Tc 0.250 0.833 0.472
Tc 0.750 0.333 0.028
Tc 0.250 0.667 0.972
Tc 0.750 0.167 0.528
Fe 0.750 0.933 0.140
Fe 0.750 0.567 0.640
Fe 0.250 0.067 0.860
Fe 0.250 0.433 0.360
P 0.750 0.619 0.265
P 0.750 0.881 0.765
P 0.250 0.119 0.235
P 0.250 0.381 0.735

Computed properties:
Relative energy among the computed polymorphs = 0.00 eV/f.u.
Space-group type = Pnma
ΔH_f (0 K) = -0.579 eV per atom

***

[3]
Material: Sr2Ag15Sn2
Method: DFT, PBE-GGA
State: optimized geometry

Cell lengths 7.450, 7.450, 7.450 Å; angles 83.35, 83.35, 83.35 degrees
Atoms (fractional coordinates):
Sr 0.346 0.346 0.346
Sr 0.654 0.654 0.654
Ag 0.500 0.000 0.000
Ag 0.000 0.000 0.500
Ag 0.000 0.500 0.000
Ag 0.000 0.687 0.313
Ag 0.687 0.313 0.000
Ag 0.313 0.000 0.687
Ag 0.313 0.687 0.000
Ag 0.687 0.000 0.313
Ag 0.000 0.313 0.687
Ag 0.161 0.655 0.655
Ag 0.655 0.655 0.161
Ag 0.655 0.161 0.655
Ag 0.839 0.345 0.345
Ag 0.345 0.345 0.839
Ag 0.345 0.839 0.345
Sn 0.101 0.101 0.101
Sn 0.899 0.899 0.899

Computed properties:
Space-group type = R-3m
ΔH_f (0 K) = -0.111 eV per atom

***

[4]
Material: SrSn2Au
Method: DFT, PBE-GGA
State: optimized geometry

Cell lengths 4.862, 4.652, 4.652 Å; angles 90.00, 90.00, 90.00 degrees
Atoms (fractional coordinates):
Sr 0.500 0.500 0.500
Au 0.500 0.000 0.000
Sn 0.000 0.000 0.500
Sn 0.000 0.500 0.000

Computed properties:
Space-group type = P4/mmm
ΔH_f (0 K) = -0.389 eV per atom